# 1
DFT (PBE) results for a relaxed YFeRu crystal.

```
data_YFeRu
_chemical_formula_sum 'Y4 Fe4 Ru4'
_cell_length_a 6.290
_cell_length_b 6.290
_cell_length_c 6.290
_cell_angle_alpha 90.00
_cell_angle_beta 90.00
_cell_angle_gamma 90.00
_space_group_name_H-M_alt 'F -4 3 m'
_space_group_IT_number 216
_space_group_name_Hall 'F -4 2 3'
loop_
_atom_site_label
_atom_site_type_symbol
_atom_site_fract_x
_atom_site_fract_y
_atom_site_fract_z
Y1 Y 0.000 0.000 0.000
Fe1 Fe 0.000 0.000 0.500
Ru1 Ru 0.250 0.250 0.250
```

Results
The total energy comes out at -23.1 eV/f.u.

# 2
DFT (PBE) results for a relaxed Pm2Y4Er3 crystal.

```
data_Pm2Y4Er3
_chemical_formula_sum 'Pm8 Y16 Er12'
_cell_length_a 16.261
_cell_length_b 11.622
_cell_length_c 6.151
_cell_angle_alpha 90.00
_cell_angle_beta 95.95
_cell_angle_gamma 90.00
_space_group_name_H-M_alt 'C 1 2/c 1'
_space_group_IT_number 15
_space_group_name_Hall '-C 2yc'
loop_
_atom_site_label
_atom_site_type_symbol
_atom_site_fract_x
_atom_site_fract_y
_atom_site_fract_z
Pm1 Pm 0.121 0.146 0.323
Y1 Y 0.047 0.358 0.014
Y2 Y 0.214 0.137 0.849
Er1 Er 0.000 0.095 0.750
Er2 Er 0.165 0.402 0.591
```

Results
The total energy comes out at -48.2 eV/f.u.

# 3
DFT (PBE) results for a relaxed TbScHgOs crystal.

```
data_TbScHgOs
_chemical_formula_sum 'Tb4 Sc4 Hg4 Os4'
_cell_length_a 6.926
_cell_length_b 6.926
_cell_length_c 6.926
_cell_angle_alpha 90.00
_cell_angle_beta 90.00
_cell_angle_gamma 90.00
_space_group_name_H-M_alt 'F -4 3 m'
_space_group_IT_number 216
_space_group_name_Hall 'F -4 2 3'
loop_
_atom_site_label
_atom_site_type_symbol
_atom_site_fract_x
_atom_site_fract_y
_atom_site_fract_z
Tb1 Tb 0.000 0.000 0.000
Sc1 Sc 0.000 0.000 0.500
Hg1 Hg 0.250 0.250 0.750
Os1 Os 0.250 0.250 0.250
```

Results
As for the energy above the most stable polymorph in this dataset: 152.9 meV per atom. The total energy comes out at -23.5 eV/f.u.

Result set for DFT formation energy: 1.09 0.83 -1.05 eV per formula unit, one per record in the order listed.